1.
The following is a PBE calculation of crystalline CeGeAu11 at its relaxed geometry, from the Alexandria database.

The value obtained for the volume is 512.8 Å³/cell. Its electronic total energy is -3.735 eV per atom. For the energy of formation, the calculation gives -0.150 eV per atom.

It has space group C2/m (No. 12), with a = 5.5225 Å, b = 13.6118 Å, c = 7.1375 Å, α = 90.00°, β = 107.10° and γ = 90.00°. The asymmetric unit holds Ce at (0.0000, 0.0000, 0.0000), Ge at (0.0000, 0.5000, 0.5000), Au at (0.0000, 0.0000, 0.5000), Au at (0.0745, 0.3954, 0.2157), Au at (0.1342, 0.1779, 0.3477) and Au at (0.2500, 0.2500, 0.0000).

=====

2.
The following is a PBE calculation of crystalline Ce2GeAu2 at its relaxed geometry, from the Alexandria database.

The value obtained for the volume is 237.4 Å³/cell. Its electronic total energy is -5.240 eV per atom. For the energy of formation, the calculation gives -0.633 eV per atom.

It has space group Amm2 (No. 38), with a = 4.0021 Å, b = 4.3110 Å, c = 13.7608 Å, α = 90.00°, β = 90.00° and γ = 90.00°. The asymmetric unit holds Ce at (0.0000, 0.0000, 0.0000), Ce at (0.0000, 0.0000, 0.2434), Ge at (0.5000, 0.0000, 0.4281), Au at (0.5000, 0.0000, 0.6186) and Au at (0.5000, 0.0000, 0.8203).

=====

3.
The following is a PBE calculation of crystalline Ce4Ge5Au at its relaxed geometry, from the Alexandria database.

The value obtained for the volume is 479.5 Å³/cell. Its electronic total energy is -5.666 eV per atom. For the energy of formation, the calculation gives -0.656 eV per atom.

It has space group Pmmn (No. 59, origin choice 2), with a = 10.7942 Å, b = 11.0002 Å, c = 4.0382 Å, α = 90.00°, β = 90.00° and γ = 90.00°. The asymmetric unit holds Ce at (0.0484, 0.2500, 0.2450), Ce at (0.2500, 0.5110, 0.7416), Ge at (0.0468, 0.5567, 0.2487), Ge at (0.2500, 0.2500, 0.7487) and Au at (0.2500, 0.7500, 0.1255).

=====

4.
The following is a PBE calculation of crystalline Ce2Ge3Au5 at its relaxed geometry, from the Alexandria database.

The value obtained for the volume is 219.2 Å³/cell. For the polymorph energy (0 for the lowest one), the calculation gives 12.4 kJ/mol of atoms. Its electronic total energy is -4.571 eV per atom. For the energy of formation, the calculation gives -0.360 eV per atom.

It has space group P-4m2 (No. 115), with a = 4.4382 Å, b = 4.4382 Å, c = 11.1272 Å, α = 90.00°, β = 90.00° and γ = 90.00°. The asymmetric unit holds Ce at (0.0000, 0.5000, 0.2409), Ge at (0.0000, 0.5000, 0.6275), Ge at (0.5000, 0.5000, 0.5000), Au at (0.0000, 0.0000, 0.0000), Au at (0.0000, 0.0000, 0.5000), Au at (0.0000, 0.5000, 0.8472) and Au at (0.5000, 0.5000, 0.0000).

=====

5.
The following is a PBE calculation of crystalline CeGeAu at its relaxed geometry, from the Alexandria database.

The value obtained for the volume is 137.4 Å³/cell. Its electronic total energy is -5.349 eV per atom. For the energy of formation, the calculation gives -0.740 eV per atom.

It has space group P6_3mc (No. 186), with a = 4.4870 Å, b = 4.4870 Å, c = 7.8790 Å, α = 90.00°, β = 90.00° and γ = 120.00°. The asymmetric unit holds Ce at (0.0000, 0.0000, 0.0000), Ge at (0.3333, 0.6667, 0.2219) and Au at (0.3333, 0.6667, 0.7710).

=====

6.
The following is a PBE calculation of crystalline CeGe2Au2 at its relaxed geometry, from the Alexandria database.

The value obtained for the volume is 211.3 Å³/cell. Its electronic total energy is -4.846 eV per atom. For the energy of formation, the calculation gives -0.501 eV per atom.

It has space group P4/nmm (No. 129, origin choice 2), with a = 4.5083 Å, b = 4.5083 Å, c = 10.3947 Å, α = 90.00°, β = 90.00° and γ = 90.00°. The asymmetric unit holds Ce at (0.2500, 0.2500, 0.2486), Ge at (0.2500, 0.2500, 0.8673), Ge at (0.2500, 0.7500, 0.5000), Au at (0.2500, 0.2500, 0.6279) and Au at (0.2500, 0.7500, 0.0000).

=====

7.
The following is a PBE calculation of crystalline Ce2GeAu at its relaxed geometry, from the Alexandria database.

The value obtained for the volume is 205.6 Å³/cell. Its electronic total energy is -5.595 eV per atom. For the energy of formation, the calculation gives -0.654 eV per atom.

It has space group P2_1/m (No. 11), with a = 6.0505 Å, b = 4.3265 Å, c = 8.4105 Å, α = 90.00°, β = 110.99° and γ = 90.00°. The asymmetric unit holds Ce at (0.2080, 0.2500, 0.4231), Ce at (0.2887, 0.7500, 0.0684), Ge at (0.3756, 0.7500, 0.7053) and Au at (0.1356, 0.2500, 0.7891).

=====

8.
The following is a PBE calculation of crystalline Ce6Ge5Au at its relaxed geometry, from the Alexandria database.

The value obtained for the volume is 688.4 Å³/cell. For the polymorph energy (0 for the lowest one), the calculation gives 9.5 kJ/mol of atoms. Its electronic total energy is -5.660 eV per atom. For the energy of formation, the calculation gives -0.496 eV per atom.

It has space group P6_3/mcm (No. 193), with a = 7.4499 Å, b = 7.4499 Å, c = 14.3227 Å, α = 90.00°, β = 90.00° and γ = 120.00°. The asymmetric unit holds Ce at (0.0000, 0.3451, 0.1208), Ge at (0.0000, 0.3452, 0.7500), Ge at (0.3333, 0.6667, 0.0000) and Au at (0.0000, 0.0000, 0.2500).

=====

Q: The highest volume belongs to which entry?
A: Ce6Ge5Au